No. 1
Computed, not measured: a geometry-optimized FeHg2Ru structure at the PBE level of DFT.

a b c (Å): 5.526 5.526 5.526
angles (deg): 147.02 129.47 61.67
Last column: magnetic moment on the atom in μB.
Positions (direct):
Fe1 0.725 0.225 0.500  2.91
Hg1 0.984 0.984 0.000  -0.01
Hg2 0.262 0.762 0.500  -0.03
Ru1 0.528 0.528 0.000  0.94

Output
DFT formation energy (eV per atom): 0.481
Space group: Imm2, No. 44

---

No. 2
Computed, not measured: a geometry-optimized NaGa4Hg structure at the PBE level of DFT.

a b c (Å): 5.646 5.646 5.646
angles (deg): 60.00 60.00 60.00
Positions (direct):
Na1 0.000 0.000 0.000
Hg1 0.250 0.250 0.250
Ga1 0.625 0.625 0.125
Ga2 0.625 0.125 0.625
Ga3 0.625 0.625 0.625
Ga4 0.125 0.625 0.625

Output
DFT formation energy (eV per atom): -0.039
Space group: F-43m, No. 216